# PBE Li2Fe5Ni12, relaxed
# E_form (eV per atom): 0.074
# Calculated total energy (eV per atom): -6.006
# DOS at the Fermi energy (states/eV per cell): 34.04
data_Li2Fe5Ni12
_space_group_name_H-M_alt 'C 1 2/m 1'
_space_group_IT_number 12
_space_group_name_Hall '-C 2y'
_cell_length_a 15.603
_cell_length_b 4.934
_cell_length_c 6.111
_cell_angle_alpha 90.00
_cell_angle_beta 108.18
_cell_angle_gamma 90.00
loop_
_atom_site_label
_atom_site_type_symbol
_atom_site_fract_x
_atom_site_fract_y
_atom_site_fract_z
Li1 Li 0.000 0.239 0.000
Fe1 Fe 0.000 0.000 0.500
Fe2 Fe 0.156 0.500 0.091
Fe3 Fe 0.245 0.000 0.486
Ni1 Ni 0.052 0.500 0.689
Ni2 Ni 0.105 0.258 0.383
Ni3 Ni 0.155 0.000 0.090
Ni4 Ni 0.196 0.247 0.791